An optimized crystal structure of TbPuTe2Se. Source: Alexandria via LeMat-Bulk, functional PBE.

Geometry as POSCAR:
```
TbPuTe2Se
1.0
4.337 0.000 0.000
0.000 4.337 0.000
0.000 0.000 15.459
Tb Pu Te Se
2 2 4 2
Direct
0.250 0.250 0.094 Tb
0.750 0.750 0.906 Tb
0.250 0.250 0.630 Pu
0.750 0.750 0.370 Pu
0.250 0.250 0.292 Te
0.250 0.250 0.890 Te
0.750 0.750 0.110 Te
0.750 0.750 0.708 Te
0.250 0.750 0.500 Se
0.750 0.250 0.500 Se
```

## Properties
SG: No. 129
VASP energy: -6.963 eV per atom
V: 29.1 Å³ per atom

---

An optimized crystal structure of TbPuTh2Se4. Source: Alexandria via LeMat-Bulk, functional PBE.

Geometry as POSCAR:
```
TbPuTh2Se4
1.0
7.094 0.000 0.000
0.000 4.106 0.000
-2.378 0.000 6.976
Tb Pu Th Se
1 1 2 4
Direct
0.000 0.000 0.000 Tb
0.500 0.500 0.000 Pu
0.000 0.500 0.500 Th
0.500 0.000 0.500 Th
0.244 0.500 0.238 Se
0.252 0.000 0.762 Se
0.748 0.000 0.238 Se
0.756 0.500 0.762 Se
```

## Properties
SG: No. 10
VASP energy: -7.570 eV per atom
V: 25.4 Å³ per atom

---

An optimized crystal structure of TbPu2Th3Se6. Source: Alexandria via LeMat-Bulk, functional PBE.

Geometry as POSCAR:
```
TbPu2Th3Se6
1.0
3.552 -6.152 0.000
3.552 6.152 0.000
-2.368 0.000 6.991
Tb Pu Th Se
1 2 3 6
Direct
0.000 0.000 0.000 Tb
0.333 0.667 0.000 Pu
0.667 0.333 0.000 Pu
0.166 0.834 0.500 Th
0.500 0.500 0.500 Th
0.834 0.166 0.500 Th
0.080 0.412 0.239 Se
0.253 0.253 0.762 Se
0.412 0.080 0.239 Se
0.588 0.920 0.761 Se
0.747 0.747 0.238 Se
0.920 0.588 0.761 Se
```

## Properties
SG: No. 12
VASP energy: -7.958 eV per atom
V: 25.5 Å³ per atom

---

An optimized crystal structure of Tb2PuTh3Se6. Source: Alexandria via LeMat-Bulk, functional PBE.

Geometry as POSCAR:
```
Tb2PuTh3Se6
1.0
9.196 -2.047 0.000
9.196 2.047 0.000
-2.438 0.000 8.076
Tb Pu Th Se
2 1 3 6
Direct
0.165 0.165 0.332 Tb
0.835 0.835 0.668 Tb
0.500 0.500 0.000 Pu
0.167 0.167 0.836 Th
0.500 0.500 0.500 Th
0.833 0.833 0.164 Th
0.003 0.003 0.244 Se
0.330 0.330 0.423 Se
0.335 0.335 0.907 Se
0.665 0.665 0.093 Se
0.670 0.670 0.577 Se
0.997 0.997 0.756 Se
```

## Properties
SG: No. 12
VASP energy: -7.181 eV per atom
V: 25.3 Å³ per atom

---

An optimized crystal structure of Tb3PuTl4Se8. Source: Alexandria via LeMat-Bulk, functional PBE.

Geometry as POSCAR:
```
Tb3PuTl4Se8
1.0
4.217 2.435 7.747
-4.217 2.435 7.747
0.000 -4.870 7.747
Tb Pu Tl Se
3 1 4 8
Direct
0.000 0.500 0.500 Tb
0.500 0.000 0.500 Tb
0.500 0.500 0.000 Tb
0.000 0.000 0.000 Pu
0.000 0.000 0.500 Tl
0.000 0.500 0.000 Tl
0.500 0.000 0.000 Tl
0.500 0.500 0.500 Tl
0.236 0.236 0.733 Se
0.236 0.733 0.236 Se
0.265 0.265 0.265 Se
0.267 0.764 0.764 Se
0.733 0.236 0.236 Se
0.735 0.735 0.735 Se
0.764 0.267 0.764 Se
0.764 0.764 0.267 Se
```

## Properties
SG: No. 166
VASP energy: -5.408 eV per atom
V: 29.8 Å³ per atom

---

An optimized crystal structure of TbPuTl2Se4. Source: Alexandria via LeMat-Bulk, functional PBE.

Geometry as POSCAR:
```
TbPuTl2Se4
1.0
7.332 0.000 0.000
0.000 4.226 0.000
-2.441 0.000 7.729
Tb Pu Tl Se
1 1 2 4
Direct
0.000 0.000 0.000 Tb
0.500 0.500 0.000 Pu
0.000 0.500 0.500 Tl
0.500 0.000 0.500 Tl
0.232 0.500 0.206 Se
0.264 0.000 0.796 Se
0.736 0.000 0.204 Se
0.768 0.500 0.794 Se
```

## Properties
SG: No. 10
VASP energy: -5.942 eV per atom
V: 29.9 Å³ per atom

---

An optimized crystal structure of Tb3PuTl3Se8. Source: Alexandria via LeMat-Bulk, functional PBE.

Geometry as POSCAR:
```
Tb3PuTl3Se8
1.0
4.175 2.411 7.807
-4.175 2.411 7.807
0.000 -4.821 7.807
Tb Pu Tl Se
3 1 3 8
Direct
0.000 0.500 0.500 Tb
0.500 0.000 0.500 Tb
0.500 0.500 0.000 Tb
0.000 0.000 0.000 Pu
0.000 0.000 0.500 Tl
0.000 0.500 0.000 Tl
0.500 0.000 0.000 Tl
0.231 0.231 0.739 Se
0.231 0.739 0.231 Se
0.261 0.769 0.769 Se
0.265 0.265 0.265 Se
0.735 0.735 0.735 Se
0.739 0.231 0.231 Se
0.769 0.261 0.769 Se
0.769 0.769 0.261 Se
```

## Properties
SG: No. 166
VASP energy: -5.564 eV per atom
V: 31.4 Å³ per atom